one:
Compound: TiNbReRh
Source: the Alexandria database
Functional: GGA-PBE
Structure: relaxed

Calculated density, g/cm³: 11.32
Total moment, μB/atom: 0.000
Crystal system: tetragonal

Cell: 3.1706 3.1706 6.2719 Å, 90.00 90.00 90.00°
Closest atoms and distances in Å follow each position.
Element x y z (fractional)
Ti 0.0000 0.0000 0.0000  4 Re 2.70, 4 Rh 2.71
Nb 0.0000 0.0000 0.5103  4 Re 2.73, 4 Rh 2.80
Re 0.5000 0.5000 0.7590  4 Ti 2.70, 4 Nb 2.73
Rh 0.5000 0.5000 0.2422  4 Ti 2.71, 4 Nb 2.80, 1 Re 3.03


two:
Compound: TiNbReRh
Source: the Alexandria database
Functional: GGA-PBE
Structure: relaxed

Calculated density, g/cm³: 11.29
Total moment, μB/atom: 0.000
Crystal system: cubic

Cell: 4.4712 4.4712 4.4712 Å, 60.00 60.00 60.00°
Closest atoms and distances in Å follow each position.
Element x y z (fractional)
Ti 0.0000 0.0000 0.0000  4 Re 2.74, 4 Rh 2.74
Nb 0.5000 0.5000 0.5000  4 Re 2.74, 4 Rh 2.74
Re 0.7500 0.7500 0.7500  4 Nb 2.74, 4 Ti 2.74
Rh 0.2500 0.2500 0.2500  4 Nb 2.74, 4 Ti 2.74


So which one is most stable? That would be one, about 45 meV per atom below the next structure.


one:
Compound: NbRe3Ru
Source: the Alexandria database
Functional: GGA-PBE
Structure: relaxed

Calculated density, g/cm³: 12.32
Total moment, μB/atom: 0.250
Crystal system: cubic

Cell: 4.6641 4.6641 4.6641 Å, 90.00 90.00 90.00°
Closest atoms and distances in Å follow each position.
Element x y z (fractional)
Nb 0.0000 0.0000 0.0000  6 Re 2.33
Re 0.0000 0.0000 0.5000  2 Nb 2.33
Re 0.0000 0.5000 0.0000  2 Nb 2.33
Re 0.5000 0.0000 0.0000  2 Nb 2.33
Ru 0.5000 0.5000 0.5000  12 Re 3.30


two:
Compound: NbRe3Ru
Source: the Alexandria database
Functional: GGA-PBE
Structure: relaxed

Calculated density, g/cm³: 12.75
Total moment, μB/atom: 0.000
Crystal system: cubic

Cell: 4.6111 4.6111 4.6111 Å, 90.00 90.00 90.00°
Closest atoms and distances in Å follow each position.
Element x y z (fractional)
Nb 0.0000 0.0000 0.0000  12 Re 3.26
Re 0.0000 0.5000 0.5000  2 Ru 2.31
Re 0.5000 0.0000 0.5000  2 Ru 2.31
Re 0.5000 0.5000 0.0000  2 Ru 2.31
Ru 0.5000 0.5000 0.5000  6 Re 2.31


So which one is most stable? That would be two, about 630 meV per atom below the next structure.


one:
Compound: TiNbReRu
Source: the Alexandria database
Functional: GGA-PBE
Structure: relaxed

Calculated density, g/cm³: 11.39
Total moment, μB/atom: 0.000
Crystal system: tetragonal

Cell: 3.1497 3.1497 6.2903 Å, 90.00 90.00 90.00°
Closest atoms and distances in Å follow each position.
Element x y z (fractional)
Ti 0.0000 0.0000 0.0000  4 Re 2.71, 4 Ru 2.71
Nb 0.0000 0.0000 0.5043  4 Re 2.73, 4 Ru 2.76
Re 0.5000 0.5000 0.7556  4 Ti 2.71, 4 Nb 2.73
Ru 0.5000 0.5000 0.2447  4 Ti 2.71, 4 Nb 2.76


two:
Compound: TiNbReRu
Source: the Alexandria database
Functional: GGA-PBE
Structure: relaxed

Calculated density, g/cm³: 11.38
Total moment, μB/atom: 0.000
Crystal system: cubic

Cell: 4.4535 4.4535 4.4535 Å, 60.00 60.00 60.00°
Closest atoms and distances in Å follow each position.
Element x y z (fractional)
Ti 0.0000 0.0000 0.0000  4 Re 2.73, 4 Ru 2.73
Nb 0.5000 0.5000 0.5000  4 Re 2.73, 4 Ru 2.73
Re 0.7500 0.7500 0.7500  4 Nb 2.73, 4 Ti 2.73
Ru 0.2500 0.2500 0.2500  4 Nb 2.73, 4 Ti 2.73


So which one is most stable? That would be one, about 13 meV per atom below the next structure.


one:
Compound: Nb2ReSb2
Source: the Alexandria database
Functional: GGA-PBE
Structure: relaxed

Calculated density, g/cm³: 10.20
Total moment, μB/atom: 0.000
Crystal system: tetragonal

Cell: 7.2627 7.2627 3.7981 Å, 90.00 90.00 90.00°
Closest atoms and distances in Å follow each position.
Element x y z (fractional)
Nb 0.1436 0.3564 0.0000  6 Sb 2.76-2.92, 2 Re 2.79, 1 Nb 2.95
Nb 0.3564 0.8564 0.0000  6 Sb 2.76-2.92, 2 Re 2.79, 1 Nb 2.95
Nb 0.6436 0.1436 0.0000  6 Sb 2.76-2.92, 2 Re 2.79, 1 Nb 2.95
Nb 0.8564 0.6436 0.0000  6 Sb 2.76-2.92, 2 Re 2.79, 1 Nb 2.95
Re 0.0000 0.0000 0.0000  4 Nb 2.79
Re 0.5000 0.5000 0.0000  4 Nb 2.79
Sb 0.1615 0.6615 0.5000  6 Nb 2.76-2.92
Sb 0.3385 0.1615 0.5000  6 Nb 2.76-2.92
Sb 0.6615 0.8385 0.5000  6 Nb 2.76-2.92
Sb 0.8385 0.3385 0.5000  6 Nb 2.76-2.92


two:
Compound: Nb2ReSb2
Source: the Alexandria database
Functional: GGA-PBE
Structure: relaxed

Calculated density, g/cm³: 9.52
Total moment, μB/atom: 0.141
Crystal system: tetragonal

Cell: 7.5906 7.5906 7.5906 Å, 150.25 150.25 42.57°
Closest atoms and distances in Å follow each position.
Element x y z (fractional)
Nb 0.0898 0.0898 0.0000  1 Nb 2.54
Nb 0.9102 0.9102 0.0000  1 Nb 2.54
Re 0.5000 0.5000 0.0000  8 Nb 3.03
Sb 0.2500 0.7500 0.5000  4 Sb 2.76, 4 Nb 2.99
Sb 0.7500 0.2500 0.5000  4 Sb 2.76, 4 Nb 2.99


So which one is most stable? That would be one, about 381 meV per atom below the next structure.